Entry 1:
# TaAl2 (PBE, optimized geometry)
data_TaAl2
_chemical_formula_sum 'Ta16 Al32'
_cell_length_a 5.500
_cell_length_b 9.470
_cell_length_c 18.651
_cell_angle_alpha 90.00
_cell_angle_beta 90.00
_cell_angle_gamma 90.00
_space_group_name_H-M_alt 'F d d d'
_space_group_IT_number 70
loop_
_space_group_symop_operation_xyz
'x,y,z'
'-x,-y,-z'
'-x+1/4,-y+1/4,z'
'x+1/4,y+1/4,-z'
'x,-y+1/4,-z+1/4'
'-x,y+1/4,z+1/4'
'-x+1/4,y,-z+1/4'
'x+1/4,-y,z+1/4'
'x,y+1/2,z+1/2'
'-x,-y+1/2,-z+1/2'
'-x+1/4,-y+3/4,z+1/2'
'x+1/4,y+3/4,-z+1/2'
'x,-y+3/4,-z+3/4'
'-x,y+3/4,z+3/4'
'-x+1/4,y+1/2,-z+3/4'
'x+1/4,-y+1/2,z+3/4'
'x+1/2,y,z+1/2'
'-x+1/2,-y,-z+1/2'
'-x+3/4,-y+1/4,z+1/2'
'x+3/4,y+1/4,-z+1/2'
'x+1/2,-y+1/4,-z+3/4'
'-x+1/2,y+1/4,z+3/4'
'-x+3/4,y,-z+3/4'
'x+3/4,-y,z+3/4'
'x+1/2,y+1/2,z'
'-x+1/2,-y+1/2,-z'
'-x+3/4,-y+3/4,z'
'x+3/4,y+3/4,-z'
'x+1/2,-y+3/4,-z+1/4'
'-x+1/2,y+3/4,z+1/4'
'-x+3/4,y+1/2,-z+1/4'
'x+3/4,-y+1/2,z+1/4'
loop_
_atom_site_label
_atom_site_fract_x
_atom_site_fract_y
_atom_site_fract_z
Ta1 0.125 0.125 0.254
Al1 0.125 0.125 0.516
Al2 0.125 0.282 0.125
# Electronic total energy, eV/atom: -6.319

---

Entry 2:
# Ta3Al (PBE, optimized geometry)
data_Ta3Al
_chemical_formula_sum 'Ta18 Al6'
_cell_length_a 5.3159
_cell_length_b 5.3159
_cell_length_c 17.8578
_cell_angle_alpha 90.00
_cell_angle_beta 90.00
_cell_angle_gamma 120.00
_space_group_name_H-M_alt 'P 63/m m c'
_space_group_IT_number 194
_space_group_name_Hall '-P 6c 2c'
loop_
_atom_site_label
_atom_site_fract_x
_atom_site_fract_y
_atom_site_fract_z
Ta1 0.0000 0.0000 0.1002
Ta2 0.1645 0.3289 0.2500
Ta3 0.3333 0.6667 0.1211
Ta4 0.3333 0.6667 0.6591
Al1 0.0000 0.5000 0.0000
# Electronic total energy, eV/atom: -9.847

---

Entry 3:
# Ta2Al (PBE, optimized geometry)
data_Ta2Al
_chemical_formula_sum 'Ta20 Al10'
_cell_length_a 9.920
_cell_length_b 9.920
_cell_length_c 5.410
_cell_angle_alpha 90.00
_cell_angle_beta 90.00
_cell_angle_gamma 90.00
_space_group_name_H-M_alt 'P 42/m n m'
_space_group_IT_number 136
_space_group_name_Hall '-P 4n 2n'
loop_
_atom_site_label
_atom_site_fract_x
_atom_site_fract_y
_atom_site_fract_z
Ta1 0.063 0.263 0.000
Ta2 0.097 0.097 0.500
Ta3 0.188 0.812 0.248
Al1 0.000 0.000 0.000
Al2 0.035 0.364 0.500
# Electronic total energy, eV/atom: -9.227

---

electronic total energy of number 3 (Ta2Al)?
-9.227 eV/atom

---

Number 3 is which compound?
Ta2Al

---

Which of these has the highest electronic total energy?
TaAl2